Record 1
This record from the Open Quantum Materials Database describes a geometry-optimized Ta12Ni structure. The functional is PBE.

Its electronic total energy is -440.51 eV per cell.

Cell lengths 5.3957, 5.3957, 28.1474 Å; angles 90.00, 90.00, 120.00 degrees
Space group R-3m (No. 166, hexagonal axes)
Inequivalent atoms, fractional coordinates:
Ta (0.0000, 0.0000, 0.0460) [6 per cell]
Ta (0.0000, 0.0000, 0.1492) [6 per cell]
Ta (0.0000, 0.0000, 0.3335) [6 per cell]
Ta (0.0025, 0.5013, 0.9078) [18 per cell]
Ni (0.0000, 0.0000, 0.5000) [3 per cell]

Record 2
This record from the Open Quantum Materials Database describes a geometry-optimized Ta7Ni8 structure. The functional is PBE.

Its electronic total energy is -256.33 eV per cell. The value obtained for the excess energy over the best structure of this formula in the dataset is 32 meV/atom.

Cell lengths 9.340, 9.340, 4.907 Å; angles 90.00, 90.00, 90.00 degrees
Space group P4_2/mnm (No. 136)
Inequivalent atoms, fractional coordinates:
Ta (0.000, 0.000, 0.000) [2 per cell]
Ta (0.037, 0.371, 0.500) [8 per cell]
Ta (0.102, 0.102, 0.500) [4 per cell]
Ni (0.066, 0.260, 0.000) [8 per cell]
Ni (0.183, 0.817, 0.251) [8 per cell]

Record 3
This record from the Open Quantum Materials Database describes a geometry-optimized Ta11Ni2 structure. The functional is PBE.

Its electronic total energy is -409.47 eV per cell. The value obtained for the excess energy over the best structure of this formula in the dataset is 133 meV/atom.

Cell lengths 5.3473, 5.3473, 28.5489 Å; angles 90.00, 90.00, 120.00 degrees
Space group R-3m (No. 166, hexagonal axes)
Inequivalent atoms, fractional coordinates:
Ta (0.0000, 0.0000, 0.0000) [3 per cell]
Ta (0.0000, 0.0000, 0.1679) [6 per cell]
Ta (0.0000, 0.0000, 0.4542) [6 per cell]
Ta (0.0039, 0.5020, 0.4091) [18 per cell]
Ni (0.0000, 0.0000, 0.3490) [6 per cell]

Computed DFT formation energy, in the same sequence as the records: 0.074, -0.044, 0.386 eV per atom.
Computed magnetic moment, in the same sequence as the records: 0.192, 0.006, 0.064 μB/f.u..